Computed, not measured: a relaxed structure of Sr2TlS at the GGA-PBE level of DFT.

Cell: 4.1045 4.1045 31.0471 Å, 90.00 90.00 120.00°
Last column: nearest neighbours and their distance in Å.
Space group R-3m (No. 166, hexagonal axes)
One atom of each set of equivalent atoms:
1 Sr 0.0000 0.0000 0.1086 (multiplicity 6)  3 S 2.98
2 Tl 0.0000 0.0000 0.0000 (multiplicity 3)  2 Sr 3.37
3 S 0.0000 0.0000 0.5000 (multiplicity 3)  6 Sr 2.98

- Magnetization: 0.08 μB/atom
- Calculated total energy: -3.35 eV/atom
- Energy above the most stable polymorph in this dataset: 35 meV/atom
- Raw formation energy: -0.8830 eV per atom

Computed, not measured: a relaxed structure of Sr2TlS at the GGA-PBE level of DFT.

Cell: 8.2868 8.2868 8.6442 Å, 90.00 90.00 90.00°
Last column: nearest neighbours and their distance in Å.
Space group I-42d (No. 122)
One atom of each set of equivalent atoms:
1 Sr 0.1978 0.2500 0.1250 (multiplicity 8)  2 S 2.85
2 Tl 0.0000 0.0000 0.5000 (multiplicity 4)  4 Sr 3.43
3 S 0.0000 0.0000 0.0000 (multiplicity 4)  4 Sr 2.85

- Magnetization: 0.00 μB/atom
- Calculated total energy: -3.38 eV/atom
- Energy above the most stable polymorph in this dataset: 0 meV/atom
- Raw formation energy: -0.9181 eV per atom

Computed, not measured: a relaxed structure of Sr2TlS3 at the GGA-PBE level of DFT.

Cell: 4.3102 5.9011 12.9292 Å, 90.00 90.00 90.00°
Last column: nearest neighbours and their distance in Å.
Space group Immm (No. 71)
One atom of each set of equivalent atoms:
1 Sr 0.0000 0.0000 0.1663 (multiplicity 4)  6 S 2.95-3.04
2 Tl 0.0000 0.0000 0.5000 (multiplicity 2)  6 S 2.95-3.09
3 S 0.0000 0.5000 0.1708 (multiplicity 4)  4 Sr 2.95-3.01, 2 Tl 3.09
4 S 0.0000 0.5000 0.5000 (multiplicity 2)  2 Tl 2.95, 4 Sr 3.04

- Magnetization: 0.00 μB/atom
- Calculated total energy: -4.47 eV/atom
- Raw formation energy: -1.4507 eV per atom